Compound: TiVTcRu
Source: the Alexandria database
Functional: PBE
Structure: optimized geometry

```
TiVTcRu
1.0
0.0000 3.0513 3.0513
3.0513 0.0000 3.0513
3.0513 3.0513 0.0000
Ti V Tc Ru
1 1 1 1
Cartesian
0.0000 0.0000 0.0000
3.0513 3.0513 3.0513
4.5769 4.5769 4.5769
1.5256 1.5256 1.5256
```

Output
- Calculated total energy: -38.7 eV/f.u.
- Mass density: 8.706 g cm⁻³
- Density of states at the Fermi level: 0.274 states/eV per atom
- Energy of formation from the pure elements: -0.520 eV/atom


Compound: BeCd2Si
Source: the Alexandria database
Functional: PBE
Structure: optimized geometry

```
BeCd2Si
1.0
2.7497 0.0000 0.0000
0.0000 3.5840 0.0000
0.0000 0.0000 7.3390
Be Cd Si
1 2 1
Cartesian
0.0000 0.0000 0.0000
0.0000 0.0000 4.3061
1.3749 1.7920 2.0097
1.3749 1.7920 6.4620
```

Output
- Calculated total energy: -9.5 eV/f.u.
- Mass density: 6.013 g cm⁻³
- Density of states at the Fermi level: 0.339 states/eV per atom
- Excess energy over the best structure of this formula in the dataset: 81 meV per atom
- Formation energy without anion corrections: 365 meV/atom


Compound: TbPrHo3
Source: the Alexandria database
Functional: PBE
Structure: optimized geometry

```
TbPrHo3
1.0
3.6075 0.0000 0.0000
0.0000 11.5518 0.0000
-1.8006 0.0000 8.4570
Tb Pr Ho
2 2 6
Cartesian
-0.0008 2.8879 3.1347
1.8077 8.6638 5.3223
0.0120 8.6638 8.2673
1.7950 2.8879 0.1897
0.0049 8.6638 2.6481
0.0023 0.0055 5.7648
0.0023 5.7704 5.7648
1.8047 11.5463 2.6922
1.8047 5.7814 2.6922
1.8021 2.8879 5.8089
```

Output
- Calculated total energy: -21.7 eV/f.u.
- Mass density: 7.488 g cm⁻³
- Density of states at the Fermi level: 1.457 states/eV per atom
- Excess energy over the best structure of this formula in the dataset: 277 meV per atom
- Energy of formation from the pure elements: 0.293 eV/atom


Compound: CdSiPt2
Source: the Alexandria database
Functional: PBE
Structure: optimized geometry

```
CdSiPt2
1.0
2.8910 -3.3519 0.0000
2.8910 3.3519 0.0000
0.0000 0.0000 3.3361
Cd Si Pt
1 1 2
Cartesian
0.0000 0.0000 0.0000
2.8910 0.0000 0.0000
1.4455 1.6759 1.6681
1.4455 -1.6759 1.6681
```

Output
- Calculated total energy: -19.2 eV/f.u.
- Mass density: 13.629 g cm⁻³
- Density of states at the Fermi level: 0.400 states/eV per atom
- Formation energy without anion corrections: -196 meV/atom